# 1
K2HfCl2F4 | PBE | relaxed

Output
E_form (uncorrected) = -2.972 eV/atom

Lattice parameters (Å, degrees): 5.219 6.859 6.859 52.78 94.10 94.10
Fractional positions:
1 K 0.137 0.637 0.637
2 K 0.863 0.363 0.363
3 Hf 0.500 0.000 0.000
4 Cl 0.337 0.187 0.187
5 Cl 0.663 0.813 0.813
6 F 0.252 0.716 0.190
7 F 0.748 0.810 0.284
8 F 0.748 0.284 0.810
9 F 0.252 0.190 0.716

# 2
La4Pr8Sm3 | PBE | relaxed

Output
energy of formation = 0.27 eV per atom

Lattice parameters (Å, degrees): 6.992 9.495 9.495 82.27 111.59 111.59
Fractional positions:
1 La 0.500 0.000 0.000
2 La 0.000 0.500 0.000
3 La 0.000 0.000 0.000
4 La 0.000 0.000 0.500
5 Pr 0.254 0.248 0.248
6 Pr 0.000 0.703 0.297
7 Pr 0.800 0.300 0.300
8 Pr 0.500 0.752 0.248
9 Pr 0.500 0.248 0.752
10 Pr 0.200 0.700 0.700
11 Pr 0.000 0.297 0.703
12 Pr 0.746 0.752 0.752
13 Sm 0.500 0.500 0.000
14 Sm 0.500 0.000 0.500
15 Sm 0.500 0.500 0.500

# 3
PmHgIr4 | PBE | relaxed

Output
energy of formation = -0.21 eV per atom

Lattice parameters (Å, degrees): 5.359 5.359 5.359 60.00 60.00 60.00
Fractional positions:
1 Ir 0.625 0.625 0.124
2 Ir 0.625 0.124 0.625
3 Ir 0.625 0.625 0.625
4 Ir 0.124 0.625 0.625
5 Hg 0.000 0.000 0.000
6 Pm 0.250 0.250 0.250

# 4
LiLaPmSm | PBE | relaxed

Output
energy of formation = 0.18 eV per atom

Lattice parameters (Å, degrees): 5.662 5.662 5.662 60.00 60.00 60.00
Fractional positions:
1 La 0.250 0.250 0.250
2 Li 0.000 0.000 0.000
3 Sm 0.750 0.750 0.750
4 Pm 0.500 0.500 0.500

# 5
BaGa2Sb2 | PBE | relaxed

Output
E_form (uncorrected) = -0.434 eV/atom

Lattice parameters (Å, degrees): 5.363 5.363 6.238 64.54 64.54 90.00
Fractional positions:
1 Sb 0.750 0.250 0.500
2 Sb 0.250 0.750 0.500
3 Ba 0.000 0.000 0.000
4 Ga 0.367 0.367 0.266
5 Ga 0.633 0.633 0.734

# 6
Ca2RhAu | PBE | relaxed

Output
energy of formation = -0.30 eV per atom

Lattice parameters (Å, degrees): 4.928 4.928 4.928 60.00 60.00 60.00
Fractional positions:
1 Rh 0.750 0.750 0.750
2 Ca 0.000 0.000 0.000
3 Ca 0.250 0.250 0.250
4 Au 0.500 0.500 0.500

# 7
BaAlC3 | PBE | relaxed

Output
excess energy over the best structure of this formula in the dataset = 1993.0 meV per atom
energy of formation = 3.58 eV per atom

Lattice parameters (Å, degrees): 4.742 4.742 4.742 90.00 90.00 90.00
Fractional positions:
1 C 0.000 0.500 0.000
2 C 0.000 0.000 0.500
3 C 0.500 0.000 0.000
4 Ba 0.000 0.000 0.000
5 Al 0.500 0.500 0.500

# 8
Na3Ag2 | PBE | relaxed

Output
excess energy over the best structure of this formula in the dataset = 82.9 meV per atom
energy of formation = 0.08 eV per atom

Lattice parameters (Å, degrees): 6.512 6.512 8.330 66.99 66.99 60.00
Fractional positions:
1 Na 0.183 0.750 0.750
2 Na 0.750 0.317 0.750
3 Na 0.317 0.183 0.750
4 Na 0.250 0.683 0.250
5 Na 0.683 0.817 0.250
6 Na 0.817 0.250 0.250
7 Ag 0.812 0.812 0.565
8 Ag 0.312 0.312 0.065
9 Ag 0.188 0.188 0.435
10 Ag 0.688 0.688 0.935

# 9
EuHoCuNi | PBE | relaxed

Output
energy of formation = -0.15 eV per atom

Lattice parameters (Å, degrees): 4.906 4.906 4.906 60.00 60.00 60.00
Fractional positions:
1 Eu 0.000 0.000 0.000
2 Ni 0.750 0.750 0.750
3 Ho 0.500 0.500 0.500
4 Cu 0.250 0.250 0.250

# 10
LaErMg2Tl4 | PBE | relaxed

Output
energy of formation = -0.25 eV per atom

Lattice parameters (Å, degrees): 5.262 5.262 9.452 73.84 73.84 60.00
Fractional positions:
1 La 0.000 0.000 0.000
2 Er 0.500 0.500 0.500
3 Mg 0.751 0.751 0.746
4 Mg 0.249 0.249 0.254
5 Tl 0.381 0.381 0.857
6 Tl 0.873 0.873 0.382
7 Tl 0.127 0.127 0.618
8 Tl 0.619 0.619 0.143

# 11
TaBeCu | PBE | relaxed

Output
excess energy over the best structure of this formula in the dataset = 83.6 meV per atom
energy of formation = -0.01 eV per atom

Lattice parameters (Å, degrees): 10.064 2.770 2.769 90.00 90.00 90.00
Fractional positions:
1 Be 0.492 0.667 0.481
2 Be 0.090 0.167 0.981
3 Cu 0.209 0.668 0.482
4 Cu 0.373 0.167 0.982
5 Ta 0.913 0.667 0.481
6 Ta 0.668 0.167 0.981

# 12
Cd3Cu5 | PBE | relaxed

Output
excess energy over the best structure of this formula in the dataset = 57.5 meV per atom
energy of formation = 0.13 eV per atom

Lattice parameters (Å, degrees): 7.502 9.335 4.777 90.00 90.00 51.21
Fractional positions:
1 Cu 0.609 0.144 0.250
2 Cu 0.391 0.856 0.750
3 Cu 0.000 0.036 0.250
4 Cu 0.609 0.247 0.750
5 Cu 0.220 0.389 0.000
6 Cu 0.220 0.389 0.500
7 Cu 0.780 0.611 0.000
8 Cu 0.780 0.611 0.500
9 Cu 0.000 0.964 0.750
10 Cu 0.391 0.753 0.250
11 Cd 0.669 0.934 0.750
12 Cd 0.331 0.066 0.250
13 Cd 0.000 0.260 0.750
14 Cd 0.670 0.396 0.250
15 Cd 0.000 0.740 0.250
16 Cd 0.330 0.604 0.750

What is the formula in the ninth record?
EuHoCuNi

What is the formula in the fifth record?
BaGa2Sb2